Below is a geometry-optimized AgIrCl structure, with properties calculated at the PBE level.

abc: 3.081 3.655 11.245
angles: 98.95 97.43 90.00
Fractional positions:
1 Ir 0.616 0.175 0.669
2 Cl 0.254 0.815 0.962
3 Ir 0.159 0.719 0.761
4 Ag 0.043 0.601 0.514
5 Cl 0.920 0.476 0.253
6 Ag 0.476 0.034 0.372

Results
space group	No. 1
offset from the most stable computed form	0.0000	eV/atom
total moment	0.00	μB per cell
density of states at the Fermi level	0.431	states/eV per atom
energy relative to the elements, uncorrected	0.099	eV per atom
raw total energy	-4.421	eV/atom